# 1
The following is a DFT calculation (PBE-GGA) of an optimized crystal structure of TbSm2ThSb5.

Lattice parameters (Å, degrees): 5.2591 5.2591 11.8624 90.00 90.00 90.00
Fractional coordinates of all 9 atoms:
1 Tb 0.0000 0.0000 0.5000
2 Sb 0.0000 0.0000 0.7511
3 Sm 0.5000 0.5000 0.7147
4 Sb 0.0000 0.0000 0.2489
5 Sb 0.0000 0.5000 0.5000
6 Th 0.0000 0.0000 0.0000
7 Sm 0.5000 0.5000 0.2853
8 Sb 0.5000 0.0000 0.5000
9 Sb 0.5000 0.5000 0.0000

Output
ΔE_f (raw): -0.203 eV per atom
size of the total moment: 0.0 μB per cell

# 2
The following is a DFT calculation (PBE-GGA) of an optimized crystal structure of Tb2SmTm3Sb6.

Lattice parameters (Å, degrees): 4.3817 8.7596 9.7944 102.83 102.93 90.00
Fractional coordinates of all 12 atoms:
1 Sm 0.5000 0.0000 0.0000
2 Tm 0.8339 0.1673 0.6677
3 Sb 0.3310 0.9188 0.6621
4 Sb 0.0007 0.7441 0.0014
5 Sb 0.6656 0.5856 0.3312
6 Sb 0.3344 0.4144 0.6688
7 Tb 0.1670 0.3334 0.3340
8 Sb 0.9993 0.2559 0.9986
9 Tm 0.1661 0.8327 0.3323
10 Tb 0.8330 0.6666 0.6660
11 Tm 0.5000 0.5000 0.0000
12 Sb 0.6690 0.0812 0.3379

Output
ΔE_f (raw): -1.111 eV per atom
size of the total moment: 0.0 μB per cell

# 3
The following is a DFT calculation (PBE-GGA) of an optimized crystal structure of TbSm2TmSb4.

Lattice parameters (Å, degrees): 4.4240 7.6580 7.6550 109.48 90.00 90.00
Fractional coordinates of all 8 atoms:
1 Sb 0.0000 0.7500 0.2441
2 Sm 0.5000 0.0000 0.5000
3 Sb 0.5000 0.2454 0.2424
4 Tb 0.5000 0.5000 0.0000
5 Sb 0.5000 0.7546 0.7576
6 Tm 0.0000 0.0000 0.0000
7 Sb 0.0000 0.2500 0.7559
8 Sm 0.0000 0.5000 0.5000

Output
ΔE_f (raw): -1.140 eV per atom
size of the total moment: 0.0 μB per cell